First-principles (PBE) data for an optimized crystal structure of Ba2SrRe, as listed in Alexandria via LeMat-Bulk.

Properties
**Magnetic moment**: 0.0000 μB per atom
**Total energy**: -0.119 Ha/atom
**E_form**: 1.26 eV per atom
**Fermi-level density of states**: 1.228 states/eV/atom
**E above lowest polymorph**: 417 meV per atom
**Density**: 3.67 g cm⁻³

Cell: 8.8732 8.8732 8.8981 Å, 60.09 60.09 90.00°
With the nearest neighbours (Å) after each atom.
Fractional positions:
Sr1 0.5000 0.5000 0.0000  12 Ba 5.20-5.23, 4 Re 5.44, 4 Sr 5.44
Re1 0.0000 0.0000 0.0000  4 Ba 2.72
Sr2 0.2500 0.7500 0.5000  12 Ba 5.20-5.23, 4 Re 5.44, 4 Sr 5.44
Ba1 0.8748 0.1250 0.2500  2 Re 2.72
Ba2 0.3750 0.1252 0.7500  2 Re 2.72
Ba3 0.8752 0.6250 0.2500  2 Re 2.72
Ba4 0.8750 0.1248 0.7500  2 Re 2.72
Re2 0.7500 0.2500 0.5000  4 Ba 2.72